A relaxed DyYIn2 crystal. Source: Alexandria via LeMat-Bulk, functional PBE.

## Properties
Crystal system   cubic
Total energy   -73.91 eV per cell
Total moment   0.00 μB per cell
ΔE_f   -484 meV/atom

a = 7.521 Å, b = 7.521 Å, c = 7.521 Å
α = 90.00°, β = 90.00°, γ = 90.00°
Space group Fm-3m (No. 225)
Inequivalent atoms, fractional coordinates:
Dy 0.000 0.000 0.000 x4
Y 0.000 0.000 0.500 x4
In 0.250 0.250 0.250 x8

A relaxed DyYIn6 crystal. Source: Alexandria via LeMat-Bulk, functional PBE.

## Properties
ΔE to the lowest computed polymorph   0.53 eV per formula unit
Crystal system   hexagonal
Total energy   -30.33 eV per cell
Total moment   0.00 μB per cell
ΔE_f   -354 meV/atom

a = 6.6081 Å, b = 6.6081 Å, c = 5.3154 Å
α = 90.00°, β = 90.00°, γ = 120.00°
Space group P-6m2 (No. 187)
Inequivalent atoms, fractional coordinates:
Dy 0.0000 0.0000 0.0000 x1
Y 0.3333 0.6667 0.5000 x1
In 0.3427 0.1714 0.5000 x3
In 0.5052 0.0103 0.0000 x3

A relaxed DyY2In2 crystal. Source: Alexandria via LeMat-Bulk, functional PBE.

## Properties
ΔE to the lowest computed polymorph   0.27 eV per formula unit
Crystal system   orthorhombic
Total energy   -98.91 eV per cell
Total moment   0.00 μB per cell
ΔE_f   -344 meV/atom

a = 5.386 Å, b = 16.031 Å, c = 6.512 Å
α = 90.00°, β = 90.00°, γ = 90.00°
Space group Cmc2_1 (No. 36)
Inequivalent atoms, fractional coordinates:
Dy 0.000 0.097 0.000 x4
Y 0.000 0.302 0.235 x4
Y 0.000 0.472 0.800 x4
In 0.000 0.102 0.515 x4
In 0.000 0.285 0.723 x4